(1)
Density functional theory data (GGA-PBE) for a geometry-optimized ZrTiI2N structure. Values from VASP.

Output
The value obtained for the formation energy without anion corrections is 27.29 kJ/mol of atoms. The total energy comes out at -5.291 eV/atom.

```
&SYSTEM
  ibrav = 0, nat = 5, ntyp = 4
/
ATOMIC_SPECIES
Zr 91.22 Zr.upf
Ti 47.87 Ti.upf
I 126.90 I.upf
N 14.01 N.upf
CELL_PARAMETERS angstrom
5.898 0.000 0.000
0.000 5.898 0.000
0.000 0.000 3.974
ATOMIC_POSITIONS crystal
Zr 0.000 0.000 0.000
Ti 0.500 0.500 0.500
I 0.000 0.500 0.000
I 0.500 0.000 0.000
N 0.000 0.000 0.500
```

(2)
Density functional theory data (GGA-PBE) for a geometry-optimized ZrTiIN2 structure. Values from VASP.

Output
The value obtained for the formation energy without anion corrections is 55.41 kJ/mol of atoms. The total energy comes out at -6.355 eV/atom.

```
&SYSTEM
  ibrav = 0, nat = 5, ntyp = 4
/
ATOMIC_SPECIES
Zr 91.22 Zr.upf
Ti 47.87 Ti.upf
I 126.90 I.upf
N 14.01 N.upf
CELL_PARAMETERS angstrom
4.212 0.000 0.000
0.000 4.212 0.000
0.000 0.000 5.757
ATOMIC_POSITIONS crystal
Zr 0.000 0.000 0.000
Ti 0.500 0.500 0.500
I 0.000 0.000 0.500
N 0.000 0.500 0.000
N 0.500 0.000 0.000
```

(3)
Density functional theory data (GGA-PBE) for a geometry-optimized ZrTiI2N structure. Values from VASP.

Output
The value obtained for the formation energy without anion corrections is 7.04 kJ/mol of atoms. The total energy comes out at -5.501 eV/atom.

```
&SYSTEM
  ibrav = 0, nat = 5, ntyp = 4
/
ATOMIC_SPECIES
Zr 91.22 Zr.upf
Ti 47.87 Ti.upf
I 126.90 I.upf
N 14.01 N.upf
CELL_PARAMETERS angstrom
5.676 0.000 0.000
0.000 5.676 0.000
0.000 0.000 3.726
ATOMIC_POSITIONS crystal
Zr 0.000 0.000 0.000
Ti 0.500 0.500 0.500
I 0.000 0.500 0.500
I 0.500 0.000 0.500
N 0.500 0.500 0.000
```

(4)
Density functional theory data (GGA-PBE) for a geometry-optimized ZrTiIN2 structure. Values from VASP.

Output
The value obtained for the formation energy without anion corrections is 36.18 kJ/mol of atoms. The total energy comes out at -6.554 eV/atom.

```
&SYSTEM
  ibrav = 0, nat = 5, ntyp = 4
/
ATOMIC_SPECIES
Zr 91.22 Zr.upf
Ti 47.87 Ti.upf
I 126.90 I.upf
N 14.01 N.upf
CELL_PARAMETERS angstrom
4.041 0.000 0.000
0.000 4.041 0.000
0.000 0.000 5.279
ATOMIC_POSITIONS crystal
Zr 0.000 0.000 0.000
Ti 0.500 0.500 0.500
I 0.500 0.500 0.000
N 0.000 0.500 0.500
N 0.500 0.000 0.500
```

(5)
Density functional theory data (GGA-PBE) for a geometry-optimized Tl3IN structure. Values from VASP.

Output
The value obtained for the formation energy without anion corrections is 110.29 kJ/mol of atoms. The total energy comes out at -2.252 eV/atom.

```
&SYSTEM
  ibrav = 0, nat = 5, ntyp = 3
/
ATOMIC_SPECIES
Tl 204.38 Tl.upf
I 126.90 I.upf
N 14.01 N.upf
CELL_PARAMETERS angstrom
6.563 0.000 0.000
0.000 6.563 0.000
0.000 0.000 6.563
ATOMIC_POSITIONS crystal
Tl 0.000 0.000 0.500
Tl 0.000 0.500 0.000
Tl 0.500 0.000 0.000
I 0.000 0.000 0.000
N 0.500 0.500 0.500
```

(6)
Density functional theory data (GGA-PBE) for a geometry-optimized Tl4I5N2 structure. Values from VASP.

Output
The value obtained for the formation energy without anion corrections is -34.42 kJ/mol of atoms. The total energy comes out at -3.435 eV/atom.

```
&SYSTEM
  ibrav = 0, nat = 11, ntyp = 3
/
ATOMIC_SPECIES
Tl 204.38 Tl.upf
I 126.90 I.upf
N 14.01 N.upf
CELL_PARAMETERS angstrom
9.446 -3.048 0.000
9.446 3.048 0.000
-3.101 0.000 8.466
ATOMIC_POSITIONS crystal
Tl 0.079 0.079 0.192
Tl 0.309 0.309 0.974
Tl 0.691 0.691 0.026
Tl 0.921 0.921 0.808
I 0.108 0.108 0.836
I 0.259 0.259 0.301
I 0.500 0.500 0.000
I 0.741 0.741 0.699
I 0.892 0.892 0.164
N 0.481 0.481 0.535
N 0.519 0.519 0.465
```

Listing volume for the structures above in their given order: 27.647, 20.424, 24.013, 17.238, 56.548, 44.320 A^3/atom.